1.
{
  "formula": "Zr4Ni2N",
  "functional": "GGA-PBE",
  "state": "optimized geometry",
  "space_group": "C2/m, No. 12",
  "e_above_lowest_polymorph_ev_per_atom": 0.214,
  "dft_energy_ev_per_fu": -57.994,
  "lattice": [[13.6051, 0.0000, 0.0000], [0.0000, 3.2187, 0.0000], [-2.2109, 0.0000, 5.3462]],
  "species": ["Zr", "Zr", "Zr", "Zr", "Zr", "Zr", "Zr", "Zr", "Ni", "Ni", "Ni", "Ni", "N", "N"],
  "frac_coords": [[0.0858, 0.0000, 0.4183], [0.1187, 0.5000, 0.9685], [0.3813, 0.0000, 0.0315], [0.4142, 0.5000, 0.5817], [0.5858, 0.5000, 0.4183], [0.6187, 0.0000, 0.9685], [0.8813, 0.5000, 0.0315], [0.9142, 0.0000, 0.5817], [0.2403, 0.5000, 0.6683], [0.2597, 0.0000, 0.3317], [0.7403, 0.0000, 0.6683], [0.7597, 0.5000, 0.3317], [0.0000, 0.0000, 0.0000], [0.5000, 0.5000, 0.0000]]
}

---

2.
{
  "formula": "ZrNiN",
  "functional": "GGA-PBE",
  "state": "optimized geometry",
  "space_group": "Cmcm, No. 63",
  "dft_energy_ev_per_fu": -25.296,
  "lattice": [[3.3012, 0.0000, 0.0000], [0.0000, 9.9857, 0.0000], [0.0000, 0.0000, 4.4661]],
  "species": ["Zr", "Zr", "Zr", "Zr", "Ni", "Ni", "Ni", "Ni", "N", "N", "N", "N"],
  "frac_coords": [[0.0000, 0.1579, 0.2500], [0.0000, 0.8421, 0.7500], [0.5000, 0.3421, 0.7500], [0.5000, 0.6579, 0.2500], [0.0000, 0.4294, 0.2500], [0.0000, 0.5706, 0.7500], [0.5000, 0.0706, 0.7500], [0.5000, 0.9294, 0.2500], [0.0000, 0.1845, 0.7500], [0.0000, 0.8155, 0.2500], [0.5000, 0.3155, 0.2500], [0.5000, 0.6845, 0.7500]]
}